## NdZn5CdAu2 (GGA-PBE)

Data for a relaxed NdZn5CdAu2 crystal.

Cell lengths 4.926, 4.926, 7.655 Å; angles 90.00, 90.00, 90.00 degrees
Space group P4/mmm (No. 123)
Asymmetric unit:
Nd 0.000 0.000 0.000 [1 per cell]
Zn 0.000 0.500 0.257 [4 per cell]
Zn 0.500 0.500 0.000 [1 per cell]
Cd 0.000 0.000 0.500 [1 per cell]
Au 0.500 0.500 0.325 [2 per cell]

Output
- total magnetic moment (μB/cell) = 0.000
- mass density (g/cm³) = 8.739
- crystal system = tetragonal
- total energy (eV per atom) = -2.142
- energy relative to the elements (eV per atom) = -0.0745